(1)
{
  "formula": "Ba2ClF3",
  "functional": "PBEsol",
  "state": "relaxed",
  "cell": [[4.426, 0.000, 0.000], [-2.213, 3.833, 0.000], [0.000, 0.000, 7.205]],
  "species": ["Ba", "Ba", "Cl", "F", "F", "F"],
  "fractional_positions": [[0.333, 0.667, 0.297], [0.667, 0.333, 0.703], [0.000, 0.000, 0.000], [0.000, 0.000, 0.500], [0.333, 0.667, 0.670], [0.667, 0.333, 0.330]],
  "e_form_raw_mev_per_atom": -3520,
  "magnetic_moment_mub_per_fu": 0.00,
  "energy_ev_per_atom": -5.535,
  "sg": "P-3m1"
}


(2)
{
  "formula": "Ba2ClF",
  "functional": "PBEsol",
  "state": "relaxed",
  "cell": [[-3.378, 3.378, 6.520], [3.378, -3.378, 6.520], [3.378, 3.378, -6.520]],
  "species": ["Ba", "Ba", "Ba", "Ba", "Cl", "Cl", "F", "F"],
  "fractional_positions": [[0.081, 0.625, 0.956], [0.375, 0.331, 0.456], [0.669, 0.125, 0.044], [0.875, 0.919, 0.544], [0.250, 0.750, 0.500], [0.500, 0.500, 0.000], [0.000, 0.000, 0.000], [0.750, 0.250, 0.500]],
  "e_form_raw_mev_per_atom": -2132,
  "magnetic_moment_mub_per_fu": 1.75,
  "energy_ev_per_atom": -4.190,
  "sg": "I-42d"
}


(3)
{
  "formula": "BaRu2ClF",
  "functional": "PBEsol",
  "state": "relaxed",
  "cell": [[4.130, 0.000, 0.000], [0.000, 4.130, 0.000], [0.000, 0.000, 5.909]],
  "species": ["Ba", "Ru", "Ru", "Cl", "F"],
  "fractional_positions": [[0.000, 0.000, 0.000], [0.000, 0.500, 0.500], [0.500, 0.000, 0.500], [0.500, 0.500, 0.000], [0.500, 0.500, 0.500]],
  "e_form_raw_mev_per_atom": 1,
  "magnetic_moment_mub_per_fu": 2.46,
  "energy_ev_per_atom": -5.285,
  "sg": "P4/mmm"
}


(4)
{
  "formula": "Ba3Fe2Cl2O5",
  "functional": "PBEsol",
  "state": "relaxed",
  "cell": [[-4.993, 4.993, 4.993], [4.993, -4.993, 4.993], [4.993, 4.993, -4.993]],
  "species": ["Ba", "Ba", "Ba", "Ba", "Ba", "Ba", "Fe", "Fe", "Fe", "Fe", "Cl", "Cl", "Cl", "Cl", "O", "O", "O", "O", "O", "O", "O", "O", "O", "O"],
  "fractional_positions": [[0.097, 0.847, 0.250], [0.250, 0.097, 0.847], [0.403, 0.653, 0.750], [0.653, 0.750, 0.403], [0.750, 0.403, 0.653], [0.847, 0.250, 0.097], [0.000, 0.187, 0.500], [0.187, 0.500, 0.000], [0.313, 0.313, 0.313], [0.500, 0.000, 0.187], [0.000, 0.614, 0.500], [0.500, 0.000, 0.614], [0.614, 0.500, 0.000], [0.886, 0.886, 0.886], [0.000, 0.976, 0.500], [0.110, 0.250, 0.360], [0.140, 0.390, 0.750], [0.250, 0.360, 0.110], [0.360, 0.110, 0.250], [0.390, 0.750, 0.140], [0.500, 0.000, 0.976], [0.524, 0.524, 0.524], [0.750, 0.140, 0.390], [0.976, 0.500, 0.000]],
  "e_form_raw_mev_per_atom": -2084,
  "magnetic_moment_mub_per_fu": 10.05,
  "energy_ev_per_atom": -6.637,
  "sg": "I2_13"
}


(5)
{
  "formula": "BaGaCl2",
  "functional": "PBEsol",
  "state": "relaxed",
  "cell": [[2.345, 1.354, 8.655], [-2.345, 1.354, 8.655], [0.000, -2.708, 8.655]],
  "species": ["Ba", "Ga", "Cl", "Cl"],
  "fractional_positions": [[0.000, 0.000, 0.000], [0.500, 0.500, 0.500], [0.385, 0.385, 0.385], [0.615, 0.615, 0.615]],
  "polymorph_energy_ev_per_atom": 0.0226,
  "e_form_raw_mev_per_atom": -1305,
  "magnetic_moment_mub_per_fu": 0.00,
  "energy_ev_per_atom": -3.681,
  "sg": "R-3m"
}


(6)
{
  "formula": "BaGaCl2",
  "functional": "PBEsol",
  "state": "relaxed",
  "cell": [[0.000, 3.736, 3.736], [3.736, 0.000, 3.736], [3.736, 3.736, 0.000]],
  "species": ["Ba", "Ga", "Cl", "Cl"],
  "fractional_positions": [[0.000, 0.000, 0.000], [0.500, 0.500, 0.500], [0.250, 0.250, 0.250], [0.750, 0.750, 0.750]],
  "polymorph_energy_ev_per_atom": 0.0000,
  "e_form_raw_mev_per_atom": -1328,
  "magnetic_moment_mub_per_fu": 0.03,
  "energy_ev_per_atom": -3.704,
  "sg": "Fm-3m"
}


(7)
{
  "formula": "BaGa3Cl",
  "functional": "PBEsol",
  "state": "relaxed",
  "cell": [[5.247, 0.000, 0.000], [0.000, 5.247, 0.000], [0.000, 0.000, 5.247]],
  "species": ["Ba", "Ga", "Ga", "Ga", "Cl"],
  "fractional_positions": [[0.000, 0.000, 0.000], [0.000, 0.500, 0.500], [0.500, 0.000, 0.500], [0.500, 0.500, 0.000], [0.500, 0.500, 0.500]],
  "e_form_raw_mev_per_atom": -86,
  "magnetic_moment_mub_per_fu": 0.00,
  "energy_ev_per_atom": -2.922,
  "sg": "Pm-3m"
}


(8)
{
  "formula": "KBa2GaCl",
  "functional": "PBEsol",
  "state": "relaxed",
  "cell": [[6.723, 0.000, 0.000], [0.000, 6.723, 0.000], [0.000, 0.000, 5.146]],
  "species": ["K", "Ba", "Ba", "Ga", "Cl"],
  "fractional_positions": [[0.000, 0.000, 0.000], [0.000, 0.500, 0.000], [0.500, 0.000, 0.000], [0.500, 0.500, 0.500], [0.000, 0.000, 0.500]],
  "e_form_raw_mev_per_atom": 47,
  "magnetic_moment_mub_per_fu": 0.17,
  "energy_ev_per_atom": -2.109,
  "sg": "P4/mmm"
}